A geometry-optimized SrBeSiPd structure. Source: OQMD via LeMat-Bulk, functional GGA-PBE.

Values from the calculation:
For the total energy, the calculation gives -3.798 eV per atom. As for the theoretical density: 5.12 g/cm³. As for the crystal system: cubic. Its space group is F-43m (216).

a b c (Å): 4.732 4.732 4.732
angles (deg): 60.00 60.00 60.00
Fractional positions:
Sr 0.250 0.250 0.250
Pd 0.500 0.500 0.500
Si 0.000 0.000 0.000
Be 0.750 0.750 0.750


A geometry-optimized SrBeSiPd structure. Source: OQMD via LeMat-Bulk, functional GGA-PBE.

Values from the calculation:
For the total energy, the calculation gives -3.926 eV per atom. As for the theoretical density: 5.48 g/cm³. As for the crystal system: cubic. Its space group is F-43m (216).

a b c (Å): 4.628 4.628 4.628
angles (deg): 60.00 60.00 60.00
Fractional positions:
Sr 0.500 0.500 0.500
Si 0.250 0.250 0.250
Pd 0.000 0.000 0.000
Be 0.750 0.750 0.750


A geometry-optimized SmBePd structure. Source: OQMD via LeMat-Bulk, functional GGA-PBE.

Values from the calculation:
For the total magnetization, the calculation gives 0.0 μB/f.u. For the total energy, the calculation gives -4.120 eV per atom. As for the theoretical density: 6.27 g/cm³. As for the crystal system: cubic. Its space group is F-43m (216).

a b c (Å): 4.635 4.635 4.635
angles (deg): 60.00 60.00 60.00
Fractional positions:
Sm 0.000 0.000 0.000
Be 0.250 0.250 0.250
Pd 0.750 0.750 0.750


A geometry-optimized SmBePd structure. Source: OQMD via LeMat-Bulk, functional GGA-PBE.

Values from the calculation:
For the total magnetization, the calculation gives 0.0 μB/f.u. For the total energy, the calculation gives -4.666 eV per atom. As for the theoretical density: 6.74 g/cm³. As for the crystal system: cubic. Its space group is F-43m (216).

a b c (Å): 4.523 4.523 4.523
angles (deg): 60.00 60.00 60.00
Fractional positions:
Pd 0.250 0.250 0.250
Be 0.500 0.500 0.500
Sm 0.000 0.000 0.000


A geometry-optimized SmBePd structure. Source: OQMD via LeMat-Bulk, functional GGA-PBE.

Values from the calculation:
For the total magnetization, the calculation gives 0.0 μB/f.u. For the total energy, the calculation gives -4.646 eV per atom. As for the theoretical density: 7.43 g/cm³. As for the crystal system: cubic. Its space group is F-43m (216).

a b c (Å): 4.380 4.380 4.380
angles (deg): 60.00 60.00 60.00
Fractional positions:
Pd 0.250 0.250 0.250
Be 0.000 0.000 0.000
Sm 0.750 0.750 0.750


A geometry-optimized BeZnSnPd structure. Source: OQMD via LeMat-Bulk, functional GGA-PBE.

Values from the calculation:
For the total energy, the calculation gives -3.446 eV per atom. As for the theoretical density: 7.80 g/cm³. As for the crystal system: cubic. Its space group is F-43m (216).

a b c (Å): 4.485 4.485 4.485
angles (deg): 60.00 60.00 60.00
Fractional positions:
Sn 0.500 0.500 0.500
Zn 0.000 0.000 0.000
Be 0.750 0.750 0.750
Pd 0.250 0.250 0.250


- Which of these has the lowest theoretical density?
  number 1


- Which formula does entry 2 have?
  SrBeSiPd


Please write out number 6 again, unchanged.
A geometry-optimized BeZnSnPd structure. Source: OQMD via LeMat-Bulk, functional GGA-PBE.

Values from the calculation:
For the total energy, the calculation gives -3.446 eV per atom. As for the theoretical density: 7.80 g/cm³. As for the crystal system: cubic. Its space group is F-43m (216).

a b c (Å): 4.485 4.485 4.485
angles (deg): 60.00 60.00 60.00
Fractional positions:
Sn 0.500 0.500 0.500
Zn 0.000 0.000 0.000
Be 0.750 0.750 0.750
Pd 0.250 0.250 0.250


What did the fourth record say?
A geometry-optimized SmBePd structure. Source: OQMD via LeMat-Bulk, functional GGA-PBE.

Values from the calculation:
For the total magnetization, the calculation gives 0.0 μB/f.u. For the total energy, the calculation gives -4.666 eV per atom. As for the theoretical density: 6.74 g/cm³. As for the crystal system: cubic. Its space group is F-43m (216).

a b c (Å): 4.523 4.523 4.523
angles (deg): 60.00 60.00 60.00
Fractional positions:
Pd 0.250 0.250 0.250
Be 0.500 0.500 0.500
Sm 0.000 0.000 0.000